Below is a relaxed structure of Pm3Y8Tm4, with properties calculated at the PBE level.

Computed properties:
As for the space group: C2/m, No. 12. The total energy is -5.187 eV/atom. For the spin magnetization, the calculation gives 0.000 μB/atom.

Unit cell a=9.2820 b=9.2820 c=6.7278 alpha=111.22 beta=111.22 gamma=86.89
Closest atoms and distances in Å follow each position.
Atoms (fractional coordinates):
Pm 0.0000 0.0000 0.0000  6 Y 3.20-3.31
Pm 0.0000 0.5000 0.5000  4 Y 3.21-3.37, 2 Tm 3.36
Pm 0.5000 0.0000 0.5000  4 Y 3.21-3.37, 2 Tm 3.36
Y 0.1450 0.8550 0.5000  7 Y 3.53-3.90, 4 Pm 3.63-3.84, 2 Tm 3.63
Y 0.2279 0.2279 0.5208  3 Pm 3.21-3.31, 4 Y 3.24-3.53, 1 Tm 3.47
Y 0.2477 0.2477 0.0207  4 Tm 3.20-3.47, 2 Y 3.24-3.50, 1 Pm 3.27
Y 0.2509 0.7491 0.0000  3 Tm 3.18-3.37, 3 Pm 3.20-3.37
Y 0.7491 0.2509 0.0000  3 Tm 3.18-3.37, 3 Pm 3.20-3.37
Y 0.7523 0.7523 0.9793  4 Tm 3.20-3.47, 2 Y 3.24-3.50, 1 Pm 3.27
Y 0.7721 0.7721 0.4792  3 Pm 3.21-3.31, 4 Y 3.24-3.53, 1 Tm 3.47
Y 0.8550 0.1450 0.5000  7 Y 3.53-3.90, 4 Pm 3.63-3.84, 2 Tm 3.63
Tm 0.0000 0.5000 0.0000  4 Y 3.20-3.37, 2 Pm 3.36
Tm 0.5000 0.0000 0.0000  4 Y 3.20-3.37, 2 Pm 3.36
Tm 0.5000 0.5000 0.0000  6 Y 3.18-3.47, 2 Tm 3.36
Tm 0.5000 0.5000 0.5000  2 Y 3.32, 2 Tm 3.36

---

Below is a relaxed structure of Pm3Y2Tm7, with properties calculated at the PBE level.

Computed properties:
As for the space group: P2/m, No. 10. The total energy is -4.782 eV/atom. For the spin magnetization, the calculation gives 0.000 μB/atom.

Unit cell a=6.3033 b=3.5042 c=17.4193 alpha=90.00 beta=96.32 gamma=90.00
Closest atoms and distances in Å follow each position.
Atoms (fractional coordinates):
Pm 0.0000 0.0000 0.0000  2 Pm 3.50, 10 Tm 3.52-3.61
Pm 0.0483 0.5000 0.6575  2 Pm 3.50, 7 Tm 3.59-3.73, 4 Y 3.60-3.64
Pm 0.9517 0.5000 0.3425  2 Pm 3.50, 7 Tm 3.59-3.73, 4 Y 3.60-3.64
Y 0.4432 0.0000 0.3253  5 Tm 3.41-3.47, 2 Y 3.50, 4 Pm 3.60-3.64
Y 0.5568 0.0000 0.6747  5 Tm 3.41-3.47, 2 Y 3.50, 4 Pm 3.60-3.64
Tm 0.2293 0.5000 0.1641  2 Y 3.46, 7 Tm 3.49-3.63, 3 Pm 3.52-3.73
Tm 0.2469 0.0000 0.5003  2 Tm 3.11-3.19, 2 Y 3.41-3.43
Tm 0.2747 0.0000 0.8346  1 Y 3.47, 8 Tm 3.50-3.63, 3 Pm 3.52-3.70
Tm 0.5000 0.5000 0.0000  8 Tm 3.49-3.53, 4 Pm 3.61
Tm 0.7253 0.0000 0.1654  1 Y 3.47, 8 Tm 3.50-3.63, 3 Pm 3.52-3.70
Tm 0.7531 0.0000 0.4997  2 Tm 3.11-3.19, 2 Y 3.41-3.43
Tm 0.7707 0.5000 0.8359  2 Y 3.46, 7 Tm 3.49-3.63, 3 Pm 3.52-3.73

---

Below is a relaxed structure of Pm4Y8Tm3, with properties calculated at the PBE level.

Computed properties:
The energy above the most stable polymorph in this dataset is 0 meV/atom. As for the space group: R-3m, No. 166. The total energy is -5.479 eV/atom. For the spin magnetization, the calculation gives 0.000 μB/atom.

Unit cell a=12.4740 b=12.4740 c=12.4740 alpha=32.46 beta=32.46 gamma=32.46
Closest atoms and distances in Å follow each position.
Atoms (fractional coordinates):
Pm 0.0000 0.0000 0.0000  6 Tm 3.49, 6 Y 3.55
Pm 0.1639 0.1639 0.1639  4 Y 3.24-3.53
Pm 0.5000 0.5000 0.5000  6 Y 3.59
Pm 0.8361 0.8361 0.8361  4 Y 3.24-3.53
Y 0.2500 0.2500 0.7472  6 Y 3.47-3.51, 3 Pm 3.53-3.59, 2 Tm 3.54
Y 0.2500 0.7472 0.2500  6 Y 3.47-3.51, 3 Pm 3.53-3.59, 2 Tm 3.54
Y 0.2528 0.7500 0.7500  6 Y 3.47-3.51, 3 Pm 3.53-3.59, 2 Tm 3.54
Y 0.2555 0.2555 0.2555  1 Pm 3.24, 3 Tm 3.41, 6 Y 3.49
Y 0.7445 0.7445 0.7445  1 Pm 3.24, 3 Tm 3.41, 6 Y 3.49
Y 0.7472 0.2500 0.2500  6 Y 3.47-3.51, 3 Pm 3.53-3.59, 2 Tm 3.54
Y 0.7500 0.2528 0.7500  6 Y 3.47-3.51, 3 Pm 3.53-3.59, 2 Tm 3.54
Y 0.7500 0.7500 0.2528  6 Y 3.47-3.51, 3 Pm 3.53-3.59, 2 Tm 3.54
Tm 0.0000 0.5000 0.5000  6 Y 3.41-3.54, 4 Tm 3.49, 2 Pm 3.49
Tm 0.5000 0.0000 0.5000  6 Y 3.41-3.54, 4 Tm 3.49, 2 Pm 3.49
Tm 0.5000 0.5000 0.0000  6 Y 3.41-3.54, 2 Pm 3.49, 4 Tm 3.49

---

Below is a relaxed structure of Pm3Y6Tm, with properties calculated at the PBE level.

Computed properties:
The energy above the most stable polymorph in this dataset is 0 meV/atom. As for the space group: Cmc2_1, No. 36. The total energy is -5.607 eV/atom. For the spin magnetization, the calculation gives 0.000 μB/atom.

Unit cell a=10.9275 b=10.9275 c=6.3957 alpha=90.00 beta=90.00 gamma=119.82
Closest atoms and distances in Å follow each position.
Atoms (fractional coordinates):
Pm 0.1126 0.8874 0.5000  7 Y 3.45-3.80, 1 Tm 3.62, 2 Pm 3.63
Pm 0.2122 0.4386 0.1106  1 Tm 3.23, 6 Y 3.31-3.55
Pm 0.4386 0.2122 0.6106  1 Tm 3.23, 6 Y 3.31-3.55
Pm 0.5614 0.7878 0.1106  1 Tm 3.23, 6 Y 3.31-3.55
Pm 0.7878 0.5614 0.6106  1 Tm 3.23, 6 Y 3.31-3.55
Pm 0.8874 0.1126 0.0000  7 Y 3.45-3.80, 1 Tm 3.62, 2 Pm 3.63
Y 0.0310 0.4481 0.7019  5 Y 3.22-3.57, 2 Pm 3.31-3.49, 2 Tm 3.34-3.50
Y 0.1218 0.2113 0.5193  4 Pm 3.40-3.80, 4 Y 3.41-3.65
Y 0.2113 0.1218 0.0193  4 Pm 3.40-3.80, 4 Y 3.41-3.65
Y 0.2283 0.7717 0.9161  4 Y 3.22-3.38, 2 Tm 3.39-3.59, 1 Pm 3.45
Y 0.4481 0.0310 0.2019  5 Y 3.22-3.57, 2 Pm 3.31-3.49, 2 Tm 3.34-3.50
Y 0.4579 0.5421 0.6933  1 Tm 3.38, 4 Pm 3.54-3.55, 2 Y 3.57
Y 0.5421 0.4579 0.1933  1 Tm 3.38, 4 Pm 3.54-3.55, 2 Y 3.57
Y 0.5519 0.9690 0.7019  5 Y 3.22-3.57, 2 Pm 3.31-3.49, 2 Tm 3.34-3.50
Y 0.7717 0.2283 0.4161  4 Y 3.22-3.38, 2 Tm 3.39-3.59, 1 Pm 3.45
Y 0.7887 0.8782 0.5193  4 Pm 3.40-3.80, 4 Y 3.41-3.65
Y 0.8782 0.7887 0.0193  4 Pm 3.40-3.80, 4 Y 3.41-3.65
Y 0.9690 0.5519 0.2019  5 Y 3.22-3.57, 2 Pm 3.31-3.49, 2 Tm 3.34-3.50
Tm 0.3024 0.6976 0.4327  3 Pm 3.23-3.62, 7 Y 3.34-3.59
Tm 0.6976 0.3024 0.9327  3 Pm 3.23-3.62, 7 Y 3.34-3.59